# PmGa2Ir3 GGA-PBE optimized geometry
# Total moment in μB/cell: 0.0
# Energy in eV per formula unit: -41.243
data_PmGa2Ir3
_chemical_formula_sum 'Pm1 Ga2 Ir3'
_cell_length_a 5.6080
_cell_length_b 5.6080
_cell_length_c 3.9015
_cell_angle_alpha 90.00
_cell_angle_beta 90.00
_cell_angle_gamma 120.00
_space_group_name_H-M_alt 'P 6/m m m'
_space_group_IT_number 191
_space_group_name_Hall '-P 6 2'
loop_
_atom_site_label
_atom_site_type_symbol
_atom_site_fract_x
_atom_site_fract_y
_atom_site_fract_z
_atom_site_occupancy
Pm1 Pm 0.0000 0.0000 0.0000 1
Ga1 Ga 0.3333 0.6667 0.0000 1
Ir1 Ir 0.0000 0.5000 0.5000 1

# TaPdW GGA-PBE optimized geometry
# Total moment in μB/cell: 0.1
# Energy in eV per formula unit: -27.420
data_TaPdW
_chemical_formula_sum 'Ta4 Pd4 W4'
_cell_length_a 6.1146
_cell_length_b 6.1146
_cell_length_c 6.1146
_cell_angle_alpha 90.00
_cell_angle_beta 90.00
_cell_angle_gamma 90.00
_space_group_name_H-M_alt 'F -4 3 m'
_space_group_IT_number 216
_space_group_name_Hall 'F -4 2 3'
loop_
_atom_site_label
_atom_site_type_symbol
_atom_site_fract_x
_atom_site_fract_y
_atom_site_fract_z
_atom_site_occupancy
Ta1 Ta 0.0000 0.0000 0.0000 1
Pd1 Pd 0.2500 0.2500 0.2500 1
W1 W 0.0000 0.0000 0.5000 1

# ReS2ClO9 GGA-PBE optimized geometry
# Total moment in μB/cell: 0.0
# Energy in eV per formula unit: -81.892
data_ReS2ClO9
_chemical_formula_sum 'Re2 S4 Cl2 O18'
_cell_length_a 6.8725
_cell_length_b 7.4734
_cell_length_c 7.8155
_cell_angle_alpha 89.45
_cell_angle_beta 80.35
_cell_angle_gamma 67.02
_space_group_name_H-M_alt 'P -1'
_space_group_IT_number 2
_space_group_name_Hall '-P 1'
loop_
_atom_site_label
_atom_site_type_symbol
_atom_site_fract_x
_atom_site_fract_y
_atom_site_fract_z
_atom_site_occupancy
Re1 Re 0.2356 0.2936 0.1901 1
S1 S 0.0980 0.2544 0.6264 1
S2 S 0.3512 0.6555 0.2789 1
Cl1 Cl 0.0107 0.8254 0.8244 1
O1 O 0.0372 0.4644 0.6689 1
O2 O 0.1212 0.7598 0.4158 1
O3 O 0.1728 0.1301 0.7598 1
O4 O 0.2226 0.4135 0.0029 1
O5 O 0.2348 0.1936 0.4544 1
O6 O 0.3165 0.7206 0.1101 1
O7 O 0.3889 0.4387 0.2898 1
O8 O 0.4655 0.0904 0.1392 1
O9 O 0.4976 0.6927 0.3663 1

Q: The highest total moment belongs to which entry?
A: TaPdW

Q: Among the records above, which one has the lowest energy?
A: ReS2ClO9